Record 1
Compound: Mn4Ga3Cu2
Source: Alexandria
Functional: SCAN
Structure: single point on PBEsol structure

Output
Energy relative to the elements (kJ per mole of atoms): -22
Total magnetization (μB/cell): 13.98
Density (g/cm3): 8.16
Symmetry: P-6m2, No. 187
D(E_F) (states/eV/f.u.): 4.0

```
Mn4Ga3Cu2
1.0
4.113 0.000 0.000
-2.057 3.562 0.000
0.000 0.000 15.454
Mn Ga Cu
8 6 4
Direct
0.000 0.000 0.085
0.000 0.000 0.244
0.000 0.000 0.414
0.000 0.000 0.586
0.000 0.000 0.756
0.000 0.000 0.915
0.667 0.333 0.159
0.667 0.333 0.841
0.333 0.667 0.171
0.333 0.667 0.500
0.333 0.667 0.829
0.667 0.333 0.000
0.667 0.333 0.324
0.667 0.333 0.676
0.333 0.667 0.000
0.333 0.667 0.337
0.333 0.667 0.663
0.667 0.333 0.500
```



Record 2
Compound: TaMn2GaCu
Source: Alexandria
Functional: SCAN
Structure: single point on PBEsol structure

Output
Energy relative to the elements (kJ per mole of atoms): 63
Total magnetization (μB/cell): 6.51
Density (g/cm3): 8.69
Symmetry: P4/mmm, No. 123
D(E_F) (states/eV/f.u.): 2.8

```
TaMn2GaCu
1.0
4.378 0.000 0.000
0.000 4.378 0.000
0.000 0.000 4.226
Ta Mn Ga Cu
1 2 1 1
Direct
0.000 0.000 0.000
0.000 0.500 0.500
0.500 0.000 0.500
0.500 0.500 0.000
0.500 0.500 0.500
```



Record 3
Compound: GaCuNO2
Source: Alexandria
Functional: SCAN
Structure: single point on PBEsol structure

Output
Raw formation energy (meV per atom): 242
Total magnetization (μB/cell): 3.00
Density (g/cm3): 5.36
Symmetry: P4/mmm, No. 123
D(E_F) (states/eV/f.u.): 2.5

```
GaCuNO2
1.0
3.790 0.000 0.000
0.000 3.790 0.000
0.000 0.000 3.863
Ga Cu N O
1 1 1 2
Direct
0.000 0.000 0.000
0.500 0.500 0.500
0.000 0.000 0.500
0.000 0.500 0.000
0.500 0.000 0.000
```



Record 4
Compound: GaCuN2O
Source: Alexandria
Functional: SCAN
Structure: single point on PBEsol structure

Output
Raw formation energy (meV per atom): 1151
Total magnetization (μB/cell): 2.41
Density (g/cm3): 5.62
Symmetry: P4/mmm, No. 123
D(E_F) (states/eV/f.u.): 2.4

```
GaCuN2O
1.0
3.720 0.000 0.000
0.000 3.720 0.000
0.000 0.000 3.787
Ga Cu N O
1 1 2 1
Direct
0.000 0.000 0.000
0.500 0.500 0.500
0.000 0.500 0.500
0.500 0.000 0.500
0.500 0.500 0.000
```



Record 5
Compound: GaCuTeN2
Source: Alexandria
Functional: SCAN
Structure: single point on PBEsol structure

Output
Raw formation energy (meV per atom): 1305
Total magnetization (μB/cell): 3.45
Density (g/cm3): 6.00
Symmetry: P4/mmm, No. 123
D(E_F) (states/eV/f.u.): 2.2

```
GaCuTeN2
1.0
3.852 0.000 0.000
0.000 3.852 0.000
0.000 0.000 5.384
Ga Cu Te N
1 1 1 2
Direct
0.000 0.000 0.000
0.500 0.500 0.500
0.500 0.500 0.000
0.000 0.500 0.500
0.500 0.000 0.500
```



Record 6
Compound: NaGa2Cu2
Source: Alexandria
Functional: SCAN
Structure: single point on PBEsol structure

Output
Energy relative to the elements (kJ per mole of atoms): -11
Total magnetization (μB/cell): 0.00
Density (g/cm3): 6.43
Symmetry: P4/mbm, No. 127
D(E_F) (states/eV/f.u.): 1.4

```
NaGa2Cu2
1.0
7.605 0.000 0.000
0.000 7.605 0.000
0.000 0.000 2.584
Na Ga Cu
2 4 4
Direct
0.000 0.000 0.000
0.500 0.500 0.000
0.134 0.366 0.000
0.366 0.866 0.000
0.634 0.134 0.000
0.866 0.634 0.000
0.161 0.661 0.500
0.339 0.161 0.500
0.661 0.839 0.500
0.839 0.339 0.500
```



Record 7
Compound: Na3GaCu
Source: Alexandria
Functional: SCAN
Structure: single point on PBEsol structure

Output
Energy relative to the elements (kJ per mole of atoms): 67
Total magnetization (μB/cell): 0.00
Density (g/cm3): 2.06
Symmetry: Pm-3m, No. 221
D(E_F) (states/eV/f.u.): 3.3

```
Na3GaCu
1.0
5.463 0.000 0.000
0.000 5.463 0.000
0.000 0.000 5.463
Na Ga Cu
3 1 1
Direct
0.000 0.000 0.500
0.000 0.500 0.000
0.500 0.000 0.000
0.000 0.000 0.000
0.500 0.500 0.500
```



Record 8
Compound: NaGaCu2Re
Source: Alexandria
Functional: SCAN
Structure: single point on PBEsol structure

Output
Energy relative to the elements (kJ per mole of atoms): 152
Total magnetization (μB/cell): 0.47
Density (g/cm3): 5.90
Symmetry: P4/mmm, No. 123
D(E_F) (states/eV/f.u.): 4.4

```
NaGaCu2Re
1.0
4.621 0.000 0.000
0.000 4.621 0.000
0.000 0.000 5.351
Na Ga Cu Re
1 1 2 1
Direct
0.000 0.000 0.000
0.500 0.500 0.000
0.000 0.500 0.500
0.500 0.000 0.500
0.000 0.000 0.500
```



Record 9
Compound: NbGaCu
Source: Alexandria
Functional: SCAN
Structure: single point on PBEsol structure

Output
Energy relative to the elements (kJ per mole of atoms): -31
Total magnetization (μB/cell): 0.00
Density (g/cm3): 8.84
Symmetry: Amm2, No. 38
D(E_F) (states/eV/f.u.): 1.2

```
NbGaCu
1.0
7.841 0.000 0.000
0.000 2.499 4.337
0.000 -2.499 4.337
Nb Ga Cu
4 4 4
Direct
0.181 0.000 0.000
0.314 0.669 0.669
0.686 0.669 0.669
0.819 0.000 0.000
0.000 0.504 0.504
0.500 0.163 0.163
0.500 0.164 0.675
0.500 0.675 0.164
0.000 0.503 0.992
0.000 0.992 0.503
0.249 0.332 0.332
0.751 0.332 0.332
```



Record 10
Compound: NbGa3Cu
Source: Alexandria
Functional: SCAN
Structure: single point on PBEsol structure

Output
Energy relative to the elements (kJ per mole of atoms): 87
Total magnetization (μB/cell): 0.00
Density (g/cm3): 5.07
Symmetry: Pm-3m, No. 221
D(E_F) (states/eV/f.u.): 3.3

```
NbGa3Cu
1.0
4.930 0.000 0.000
0.000 4.930 0.000
0.000 0.000 4.930
Nb Ga Cu
1 3 1
Direct
0.000 0.000 0.000
0.000 0.000 0.500
0.000 0.500 0.000
0.500 0.000 0.000
0.500 0.500 0.500
```



Record 11
Compound: NbGaCu2Te
Source: Alexandria
Functional: SCAN
Structure: single point on PBEsol structure

Output
Raw formation energy (meV per atom): 599
Total magnetization (μB/cell): 0.00
Density (g/cm3): 7.34
Symmetry: P4/mmm, No. 123
D(E_F) (states/eV/f.u.): 3.3

```
NbGaCu2Te
1.0
4.373 0.000 0.000
0.000 4.373 0.000
0.000 0.000 4.938
Nb Ga Cu Te
1 1 2 1
Direct
0.000 0.000 0.000
0.000 0.000 0.500
0.000 0.500 0.500
0.500 0.000 0.500
0.500 0.500 0.000
```



Record 12
Compound: NbGaCuW2
Source: Alexandria
Functional: SCAN
Structure: single point on PBEsol structure

Output
Energy relative to the elements (kJ per mole of atoms): 181
Total magnetization (μB/cell): 0.00
Density (g/cm3): 10.41
Symmetry: P4/mmm, No. 123
D(E_F) (states/eV/f.u.): 3.4

```
NbGaCuW2
1.0
4.525 0.000 0.000
0.000 4.525 0.000
0.000 0.000 4.626
Nb Ga Cu W
1 1 1 2
Direct
0.000 0.000 0.000
0.000 0.000 0.500
0.500 0.500 0.000
0.000 0.500 0.500
0.500 0.000 0.500
```



Ordered final energy results: -17.171, -26.276, -10.418, -10.121, -16.171, -13.576, -8.146, -22.835, -21.877, -18.572, -22.827, -38.936; unit eV/atom.